Record 1
TbCeGeRh | PBE-GGA | relaxed

- ρ (g/cm3) = 8.83
- ΔE to the lowest computed polymorph (eV per atom) = 0.1744
- ΔH_f (0 K) (kcal/mol of atoms) = -14.7
- N(E_F) (states/eV per atom) = 1.266

Cell: 5.0162 5.0162 5.0162 Å, 60.00 60.00 60.00°
Last column: nearest neighbours and their distance in Å.
Fractional coordinates of all 4 atoms:
Tb1 0.0000 0.0000 0.0000  4 Ge 3.07, 4 Rh 3.07
Ce1 0.5000 0.5000 0.5000  4 Ge 3.07, 4 Rh 3.07
Ge1 0.7500 0.7500 0.7500  4 Tb 3.07, 4 Ce 3.07
Rh1 0.2500 0.2500 0.2500  4 Tb 3.07, 4 Ce 3.07

Record 2
CrRe2Se2 | PBE-GGA | relaxed

- ρ (g/cm3) = 10.20
- ΔE to the lowest computed polymorph (eV per atom) = 0.0000
- N(E_F) (states/eV per atom) = 0.945

Cell: 6.0024 6.0024 6.0024 Å, 138.26 138.26 60.50°
Last column: nearest neighbours and their distance in Å.
Fractional coordinates of all 5 atoms:
Cr1 0.0000 0.0000 0.0000  8 Se 3.33, 8 Re 3.36
Re1 0.2500 0.7500 0.5000  4 Se 2.45
Re2 0.7500 0.2500 0.5000  4 Se 2.45
Se1 0.3662 0.3662 0.0000  4 Re 2.45
Se2 0.6338 0.6338 0.0000  4 Re 2.45

Record 3
LaEr2Cd4 | PBE-GGA | relaxed

- ρ (g/cm3) = 7.39
- ΔH_f (0 K) (kcal/mol of atoms) = -3.1
- N(E_F) (states/eV per atom) = 0.734

Cell: 8.3803 8.3803 8.3803 Å, 143.46 143.46 52.63°
Last column: nearest neighbours and their distance in Å.
Fractional coordinates of all 7 atoms:
La1 0.0000 0.0000 0.0000  8 Cd 3.26
Er1 0.2535 0.2535 0.0000  8 Cd 3.17-3.23
Er2 0.7465 0.7465 0.0000  8 Cd 3.17-3.23
Cd1 0.1289 0.6289 0.5000  4 Er 3.17-3.23, 2 La 3.26
Cd2 0.3711 0.8711 0.5000  4 Er 3.17-3.23, 2 La 3.26
Cd3 0.6289 0.1289 0.5000  4 Er 3.17-3.23, 2 La 3.26
Cd4 0.8711 0.3711 0.5000  4 Er 3.17-3.23, 2 La 3.26

Record 4
Ca2ZnFe | PBE-GGA | relaxed

- ρ (g/cm3) = 3.33
- ΔH_f (0 K) (kcal/mol of atoms) = 3.0
- N(E_F) (states/eV per atom) = 1.112

Cell: 4.2803 5.9127 5.9127 Å, 42.19 90.00 90.00°
Last column: nearest neighbours and their distance in Å.
Fractional coordinates of all 4 atoms:
Ca1 0.0000 0.0000 0.0000  3 Zn 3.07-3.30, 4 Fe 3.18
Ca2 0.5000 0.2880 0.2880  3 Fe 3.05-3.33, 4 Zn 3.17
Zn1 0.0000 0.7007 0.7007  2 Fe 2.47
Fe1 0.5000 0.5898 0.5898  2 Zn 2.47

Record 5
AcZn2AgAu2 | PBE-GGA | relaxed

- ρ (g/cm3) = 11.02
- ΔH_f (0 K) (kcal/mol of atoms) = -10.8
- N(E_F) (states/eV per atom) = 0.595

Cell: 4.5774 4.5774 7.1407 Å, 90.00 90.00 120.00°
Last column: nearest neighbours and their distance in Å.
Fractional coordinates of all 6 atoms:
Ac1 0.0000 0.0000 0.0000  6 Au 3.31, 6 Zn 3.54, 2 Ag 3.57
Zn1 0.3333 0.6667 0.3299  4 Au 2.67-2.78, 3 Ag 2.91
Zn2 0.6667 0.3333 0.6701  4 Au 2.67-2.78, 3 Ag 2.91
Ag1 0.0000 0.0000 0.5000  6 Zn 2.91, 6 Au 3.07
Au1 0.3333 0.6667 0.7198  4 Zn 2.67-2.78
Au2 0.6667 0.3333 0.2802  4 Zn 2.67-2.78

Record 6
MgVP | PBE-GGA | relaxed

- ρ (g/cm3) = 3.89
- ΔH_f (0 K) (kcal/mol of atoms) = -10.5
- N(E_F) (states/eV per atom) = 0.707

Cell: 6.5908 3.6635 11.2769 Å, 90.00 91.27 90.00°
Last column: nearest neighbours and their distance in Å.
Fractional coordinates of all 18 atoms:
Mg1 0.0352 0.2500 0.2849  5 P 2.63-2.71, 5 V 2.90-2.94
Mg2 0.3486 0.7500 0.9155  5 P 2.66-2.77, 4 V 2.95-2.98
Mg3 0.4628 0.7500 0.6179  5 P 2.66-2.75, 2 V 2.90
Mg4 0.5372 0.2500 0.3821  5 P 2.66-2.75, 2 V 2.90
Mg5 0.6514 0.2500 0.0845  5 P 2.66-2.77, 4 V 2.95-2.98
Mg6 0.9648 0.7500 0.7151  5 P 2.63-2.71, 5 V 2.90-2.94
V1 0.0020 0.7500 0.0814  4 P 2.42-2.57, 2 V 2.59
V2 0.1245 0.2500 0.5405  4 P 2.45-2.52, 2 V 2.61
V3 0.3677 0.7500 0.2070  4 P 2.40-2.52
V4 0.6323 0.2500 0.7930  4 P 2.40-2.52
V5 0.8755 0.7500 0.4595  4 P 2.45-2.52, 2 V 2.61
V6 0.9980 0.2500 0.9186  4 P 2.42-2.57, 2 V 2.59
P1 0.2427 0.2500 0.0881  5 V 2.40-2.47, 1 Mg 2.63
P2 0.2440 0.7500 0.4165  4 V 2.45-2.52, 5 Mg 2.66-2.71
P3 0.2563 0.2500 0.7518  3 V 2.51-2.57, 6 Mg 2.66-2.75
P4 0.7437 0.7500 0.2482  3 V 2.51-2.57, 6 Mg 2.66-2.75
P5 0.7560 0.2500 0.5835  4 V 2.45-2.52, 5 Mg 2.66-2.71
P6 0.7573 0.7500 0.9119  5 V 2.40-2.47, 1 Mg 2.63

Record 7
Sc2AlPt | PBE-GGA | relaxed

- ρ (g/cm3) = 6.97
- ΔH_f (0 K) (kcal/mol of atoms) = -20.0
- N(E_F) (states/eV per atom) = 0.220

Cell: 3.3706 3.4242 6.4392 Å, 90.00 90.00 90.00°
Last column: nearest neighbours and their distance in Å.
Fractional coordinates of all 4 atoms:
Sc1 0.0000 0.0000 0.2394  4 Pt 2.85, 4 Al 2.93, 1 Sc 3.08
Sc2 0.0000 0.0000 0.7606  4 Pt 2.85, 4 Al 2.93, 1 Sc 3.08
Al1 0.5000 0.5000 0.5000  8 Sc 2.93, 2 Pt 3.22
Pt1 0.5000 0.5000 0.0000  8 Sc 2.85

Record 8
MnGaGe2 | PBE-GGA | relaxed

- ρ (g/cm3) = 6.94
- ΔH_f (0 K) (kcal/mol of atoms) = 1.6
- N(E_F) (states/eV per atom) = 0.583

Cell: 8.6502 8.6502 8.6502 Å, 19.74 19.74 19.74°
Last column: nearest neighbours and their distance in Å.
Fractional coordinates of all 4 atoms:
Mn1 0.0000 0.0000 0.0000  6 Ge 2.42
Ga1 0.5000 0.5000 0.5000  2 Ge 2.53
Ge1 0.4006 0.4006 0.4006  3 Mn 2.42, 1 Ga 2.53
Ge2 0.5994 0.5994 0.5994  3 Mn 2.42, 1 Ga 2.53

Record 9
Cs2RhBr6F | PBE-GGA | relaxed

- ρ (g/cm3) = 4.52
- energy (eV/atom) = -3.00
- N(E_F) (states/eV per atom) = 1.375

Cell: 7.8081 7.8081 7.8081 Å, 123.23 123.23 84.49°
Last column: nearest neighbours and their distance in Å.
Fractional coordinates of all 10 atoms:
Cs1 0.2500 0.7500 0.5000  12 Br 3.73-3.91
Cs2 0.7500 0.2500 0.5000  12 Br 3.73-3.91
Rh1 0.0000 0.0000 0.0000  6 Br 2.50-2.52
Br1 0.2166 0.2166 0.0000  1 Rh 2.50
Br2 0.2403 0.2403 0.4807  1 Rh 2.52, 1 F 2.73
Br3 0.2403 0.7597 0.0000  1 Rh 2.52, 1 F 2.73
Br4 0.7597 0.2403 0.0000  1 Rh 2.52, 1 F 2.73
Br5 0.7597 0.7597 0.5193  1 Rh 2.52, 1 F 2.73
Br6 0.7834 0.7834 0.0000  1 Rh 2.50
F1 0.5000 0.5000 0.0000  4 Br 2.73

Record 10
RbCr2TcGe | PBE-GGA | relaxed

- ρ (g/cm3) = 4.12
- ΔH_f (0 K) (kcal/mol of atoms) = 65.4
- N(E_F) (states/eV per atom) = 1.381

Cell: 5.1250 5.1250 5.5203 Å, 90.00 90.00 90.00°
Last column: nearest neighbours and their distance in Å.
Fractional coordinates of all 5 atoms:
Rb1 0.0000 0.0000 0.0000  4 Cr 2.56, 2 Ge 2.76
Cr1 0.0000 0.5000 0.0000  2 Rb 2.56
Cr2 0.5000 0.0000 0.0000  2 Rb 2.56
Tc1 0.5000 0.5000 0.5000  4 Ge 3.62, 8 Cr 3.77
Ge1 0.0000 0.0000 0.5000  2 Rb 2.76

Record 11
LiTlSe | PBE-GGA | relaxed

- ρ (g/cm3) = 6.11
- ΔE to the lowest computed polymorph (eV per atom) = 0.0614
- N(E_F) (states/eV per atom) = 0.010

Cell: 4.3153 4.3153 4.8888 Å, 90.00 90.00 120.00°
Last column: nearest neighbours and their distance in Å.
Fractional coordinates of all 3 atoms:
Li1 0.0000 0.0000 0.0000  3 Se 2.51
Tl1 0.3333 0.6667 0.4796  3 Se 3.21, 6 Li 3.42-3.56
Se1 0.6667 0.3333 0.0640  3 Li 2.51

Record 12
La3Nd8Tm2 | PBE-GGA | relaxed

- ρ (g/cm3) = 6.77
- ΔE to the lowest computed polymorph (eV per atom) = 0.0725
- ΔH_f (0 K) (kcal/mol of atoms) = 4.9
- N(E_F) (states/eV per atom) = 1.597

Cell: 11.0192 11.0192 5.8327 Å, 90.07 90.07 41.37°
Last column: nearest neighbours and their distance in Å.
Fractional coordinates of all 13 atoms:
La1 0.0000 0.0000 0.0000  4 Nd 3.20
La2 0.2925 0.7075 0.5000  1 La 3.23, 2 Nd 3.61
La3 0.7075 0.2925 0.5000  1 La 3.23, 2 Nd 3.61
Nd1 0.1361 0.1361 0.4987  3 La 3.61-4.04, 2 Tm 3.62-3.64, 7 Nd 3.73-3.98
Nd2 0.1817 0.5989 0.9996  1 La 3.20, 1 Nd 3.25, 2 Tm 3.48-3.53
Nd3 0.3228 0.3228 0.4978  2 Tm 3.37, 4 Nd 3.61-3.62
Nd4 0.4011 0.8183 0.0004  1 La 3.20, 1 Nd 3.25, 2 Tm 3.48-3.53
Nd5 0.5989 0.1817 0.9996  1 La 3.20, 1 Nd 3.25, 2 Tm 3.48-3.53
Nd6 0.6772 0.6772 0.5022  2 Tm 3.37, 4 Nd 3.61-3.62
Nd7 0.8183 0.4011 0.0004  1 La 3.20, 1 Nd 3.25, 2 Tm 3.48-3.53
Nd8 0.8639 0.8639 0.5013  3 La 3.61-4.04, 2 Tm 3.62-3.64, 7 Nd 3.73-3.98
Tm1 0.2410 0.2410 0.9973  8 Nd 3.37-3.64
Tm2 0.7590 0.7590 0.0027  8 Nd 3.37-3.64

no.,spin magnetization (μB/atom)
1,0.09
2,0.76
3,0.00
4,0.46
5,0.00
6,0.12
7,0.00
8,0.00
9,0.20
10,2.52
11,0.00
12,0.00